[1]
A relaxed structure of Pm4RuSe3, computed with PBE-GGA.

abc: 8.675 11.891 4.118
angles: 90.00 90.00 90.00
Space group Cmmm (No. 65)
Asymmetric unit:
Pm1 0.000 0.231 0.000 [4 per cell]
Pm2 0.235 0.000 0.500 [4 per cell]
Ru1 0.000 0.000 0.000 [2 per cell]
Se1 0.000 0.500 0.000 [2 per cell]
Se2 0.250 0.250 0.500 [4 per cell]

Properties
Formation energy from raw total energies = -1388 meV/atom
VASP energy = -99.7 eV/cell



[2]
A relaxed structure of Al2InBr, computed with PBE-GGA.

abc: 7.188 7.188 7.188
angles: 90.00 90.00 90.00
Space group Fm-3m (No. 225)
Asymmetric unit:
Al1 0.250 0.250 0.250 [8 per cell]
In1 0.000 0.000 0.000 [4 per cell]
Br1 0.000 0.000 0.500 [4 per cell]

Properties
Formation energy from raw total energies = 253 meV/atom
VASP energy = -43.5 eV/cell



[3]
A relaxed structure of Ba2HgPt2, computed with PBE-GGA.

abc: 8.275 8.275 4.330
angles: 90.00 90.00 90.00
Space group P4/mbm (No. 127)
Asymmetric unit:
Ba1 0.174 0.326 0.000 [4 per cell]
Hg1 0.000 0.000 0.500 [2 per cell]
Pt1 0.120 0.620 0.500 [4 per cell]

Properties
Calculated formation energy = -60 kJ/mol of atoms
VASP energy = -38.6 eV/cell



[4]
A relaxed structure of CsSnB, computed with PBE-GGA.

abc: 11.829 4.063 8.720
angles: 90.00 90.00 90.00
Space group Pnma (No. 62)
Asymmetric unit:
Cs1 0.210 0.250 0.041 [4 per cell]
Sn1 0.009 0.250 0.656 [4 per cell]
B1 0.076 0.250 0.386 [4 per cell]

Properties
Calculated formation energy = 54 kJ/mol of atoms
VASP energy = -39.4 eV/cell



[5]
A relaxed structure of MnTcOs2, computed with PBE-GGA.

abc: 2.922 4.343 8.846
angles: 90.00 90.00 90.00
Space group Imm2 (No. 44)
Asymmetric unit:
Mn1 0.000 0.000 0.000 [2 per cell]
Tc1 0.000 0.500 0.272 [2 per cell]
Os1 0.000 0.000 0.500 [2 per cell]
Os2 0.000 0.500 0.729 [2 per cell]

Properties
Calculated formation energy = 25 kJ/mol of atoms
VASP energy = -81.9 eV/cell



[6]
A relaxed structure of CsNaCa2Pt, computed with PBE-GGA.

abc: 5.635 5.635 6.341
angles: 90.00 90.00 90.00
Space group P4/mmm (No. 123)
Asymmetric unit:
Cs1 0.000 0.000 0.000 [1 per cell]
Na1 0.500 0.500 0.000 [1 per cell]
Ca1 0.000 0.500 0.500 [2 per cell]
Pt1 0.500 0.500 0.500 [1 per cell]

Properties
Calculated formation energy = -23 kJ/mol of atoms
VASP energy = -13.4 eV/cell



[7]
A relaxed structure of NaPmOsO6, computed with PBE-GGA.

abc: 5.6692 5.6692 4.9329
angles: 90.00 90.00 120.00
Space group P312 (No. 149)
Asymmetric unit:
Na1 0.0000 0.0000 0.0000 [1 per cell]
Pm1 0.3333 0.6667 0.5000 [1 per cell]
Os1 0.6667 0.3333 0.5000 [1 per cell]
O1 0.3967 0.0577 0.7166 [6 per cell]

Properties
Formation energy from raw total energies = -1699 meV/atom
VASP energy = -62.3 eV/cell



[8]
A relaxed structure of SrY2Ta, computed with PBE-GGA.

abc: 4.676 4.693 11.008
angles: 90.00 90.00 90.00
Space group Cmm2 (No. 35)
Asymmetric unit:
Sr1 0.000 0.000 0.000 [2 per cell]
Y1 0.000 0.000 0.566 [2 per cell]
Y2 0.000 0.500 0.298 [2 per cell]
Ta1 0.000 0.500 0.758 [2 per cell]

Properties
Calculated formation energy = 51 kJ/mol of atoms
VASP energy = -48.7 eV/cell



[9]
A relaxed structure of Lu3In, computed with PBE-GGA.

abc: 3.427 5.395 5.938
angles: 90.00 90.00 90.00
Space group Pmm2 (No. 25)
Asymmetric unit:
Lu1 0.000 0.000 0.000 [1 per cell]
Lu2 0.000 0.500 0.335 [1 per cell]
Lu3 0.500 0.000 0.502 [1 per cell]
In1 0.500 0.500 0.820 [1 per cell]

Properties
Calculated formation energy = -15 kJ/mol of atoms
VASP energy = -16.9 eV/cell



Look up the VASP energy of the first one. -99.7 eV/cell